The following is a PBE-GGA calculation of a relaxed structure of LaTbW, from the Open Quantum Materials Database. Values from VASP.

Summary:
Density: 9.5 Mg/m³
ΔE_f: 2.3 eV/f.u.
Final energy: -6.75 eV/atom
Symmetry: F-43m, No. 216

Structure (Quantum ESPRESSO input):
```
&SYSTEM
  ibrav = 0, nat = 3, ntyp = 3
/
ATOMIC_SPECIES
La 138.91 La.upf
Tb 158.93 Tb.upf
W 183.84 W.upf
CELL_PARAMETERS angstrom
4.8858 -0.5947 -0.0752
2.6620 0.9900 4.0204
2.0723 -3.6688 2.5447
ATOMIC_POSITIONS angstrom
La 2.4050 -0.8184 1.6225
Tb 7.2150 -2.4551 4.8675
W 0.0000 0.0000 0.0000
```